A geometry-optimized Tl2WCl4O2 structure. Source: the Alexandria database, functional GGA+U.

Cell: 12.1584 7.0536 6.8630 Å, 90.00 122.99 90.00°
With the nearest neighbours (Å) after each atom.
Space group C2/m (No. 12)
Inequivalent atoms, fractional coordinates:
Tl 0.2416 0.0000 0.3105  1 O 2.59
W 0.0000 0.5000 0.0000  2 O 1.84
Cl 0.0500 0.2582 0.8106  1 W 2.41
O 0.1709 0.5000 0.2510  1 W 1.84

Properties
Its density is 5.16 g/cm3. As for the calculated volume: 27.426 A^3/atom. The calculation puts the total energy at -78.11 eV/cell. The total magnetization is 0.00 μB/f.u.